[1]
Dy8Te3As3S: optimized geometry, PBE-GGA.

Structure (POSCAR):
```
Dy8Te3As3S
1.0
4.1306 2.3848 6.9996
-4.1306 2.3848 6.9996
0.0000 -4.7696 6.9996
Dy Te As S
8 3 3 1
Direct
0.2386 0.2386 0.2386
0.2429 0.7375 0.7375
0.2625 0.2625 0.7571
0.2625 0.7571 0.2625
0.7375 0.2429 0.7375
0.7375 0.7375 0.2429
0.7571 0.2625 0.2625
0.7614 0.7614 0.7614
0.0000 0.5000 0.5000
0.5000 0.0000 0.5000
0.5000 0.5000 0.0000
0.0000 0.0000 0.5000
0.0000 0.5000 0.0000
0.5000 0.0000 0.0000
0.5000 0.5000 0.5000
```

Results
- Space-group type: No. 166
- Final energy: -85.2 eV/cell
- D(E_F): 5.742 states/eV/cell
- E_form (uncorrected): -1.393 eV/atom

[2]
La4ZrSe: optimized geometry, PBE-GGA.

Structure (POSCAR):
```
La4ZrSe
1.0
0.0000 4.5337 4.5337
4.5337 0.0000 4.5337
4.5337 4.5337 0.0000
La Zr Se
4 1 1
Direct
0.3768 0.3768 0.3768
0.3768 0.3768 0.8695
0.3768 0.8695 0.3768
0.8695 0.3768 0.3768
0.7500 0.7500 0.7500
0.0000 0.0000 0.0000
```

Results
- Space-group type: No. 216
- Final energy: -30.0 eV/cell
- D(E_F): 8.881 states/eV/cell
- E_form (uncorrected): 0.283 eV/atom

[3]
DyGaCo4: optimized geometry, PBE-GGA.

Structure (POSCAR):
```
DyGaCo4
1.0
0.0000 3.4602 3.4602
3.4602 0.0000 3.4602
3.4602 3.4602 0.0000
Dy Ga Co
1 1 4
Direct
0.0000 0.0000 0.0000
0.2500 0.2500 0.2500
0.1282 0.6239 0.6239
0.6239 0.1282 0.6239
0.6239 0.6239 0.1282
0.6239 0.6239 0.6239
```

Results
- Space-group type: No. 216
- ΔH_f (0 K): -0.182 eV/atom
- Final energy: -37.1 eV/cell
- D(E_F): 8.175 states/eV/cell

[4]
Rb2MgBr2Cl2: optimized geometry, PBE-GGA.

Structure (POSCAR):
```
Rb2MgBr2Cl2
1.0
-2.5506 2.5506 8.6198
2.5506 -2.5506 8.6198
2.5506 2.5506 -8.6198
Rb Mg Br Cl
2 1 2 2
Direct
0.1390 0.1390 0.0000
0.8610 0.8610 0.0000
0.5000 0.5000 0.0000
0.3436 0.3436 0.0000
0.6564 0.6564 0.0000
0.0000 0.5000 0.5000
0.5000 0.0000 0.5000
```

Results
- Space-group type: No. 139
- Final energy: -23.2 eV/cell
- D(E_F): 0.000 states/eV/cell
- E_form (uncorrected): -1.803 eV/atom

[5]
TmBi2ClO4: optimized geometry, PBE-GGA.

Structure (POSCAR):
```
TmBi2ClO4
1.0
3.8695 0.0000 0.0000
0.0000 3.8695 0.0000
0.0000 0.0000 9.0410
Tm Bi Cl O
1 2 1 4
Direct
0.0000 0.0000 0.0000
0.5000 0.5000 0.2760
0.5000 0.5000 0.7240
0.0000 0.0000 0.5000
0.0000 0.5000 0.1498
0.0000 0.5000 0.8502
0.5000 0.0000 0.1498
0.5000 0.0000 0.8502
```

Results
- Space-group type: No. 123
- Final energy: -50.4 eV/cell
- D(E_F): 0.000 states/eV/cell
- E_form (uncorrected): -2.058 eV/atom

[6]
AlFe2Br: optimized geometry, PBE-GGA.

Structure (POSCAR):
```
AlFe2Br
1.0
3.1798 0.0000 0.0000
0.0000 3.1798 0.0000
0.0000 0.0000 6.2260
Al Fe Br
1 2 1
Direct
0.0000 0.0000 0.0000
0.5000 0.5000 0.1894
0.5000 0.5000 0.8106
0.0000 0.0000 0.5000
```

Results
- Space-group type: No. 123
- Final energy: -21.1 eV/cell
- D(E_F): 3.617 states/eV/cell
- E_form (uncorrected): 0.298 eV/atom

[7]
BaSrY3: optimized geometry, PBE-GGA.

Structure (POSCAR):
```
BaSrY3
1.0
5.9930 0.0000 0.0000
0.0000 5.9930 0.0000
0.0000 0.0000 5.9930
Ba Sr Y
1 1 3
Direct
0.0000 0.0000 0.0000
0.5000 0.5000 0.5000
0.0000 0.5000 0.5000
0.5000 0.0000 0.5000
0.5000 0.5000 0.0000
```

Results
- Space-group type: No. 221
- ΔH_f (0 K): 0.804 eV/atom
- Final energy: -19.0 eV/cell
- D(E_F): 5.010 states/eV/cell

[8]
LaRhSe2Br: optimized geometry, PBE-GGA.

Structure (POSCAR):
```
LaRhSe2Br
1.0
5.0031 0.0000 0.0000
0.0000 5.0031 0.0000
0.0000 0.0000 4.8720
La Rh Se Br
1 1 2 1
Direct
0.0000 0.0000 0.0000
0.5000 0.5000 0.5000
0.0000 0.5000 0.5000
0.5000 0.0000 0.5000
0.5000 0.5000 0.0000
```

Results
- Space-group type: No. 123
- Final energy: -25.2 eV/cell
- D(E_F): 0.726 states/eV/cell
- E_form (uncorrected): -0.858 eV/atom

Among the records above, which one has the highest final energy?
BaSrY3

Number 3 is which compound?
DyGaCo4

Which formula does entry 2 have?
La4ZrSe

What is the formula in the fifth record?
TmBi2ClO4